Crystalline PmPr2ThBi4 at its relaxed geometry, computed with GGA-PBE.

Fermi-level density of states   0.230 states/eV/atom
E   -5.532 eV per atom
Total magnetization   0.000 μB/f.u.
Formation energy from the elements   -7.00 eV/f.u.

Lattice parameters (Å, degrees): 7.9831 4.6206 7.9925 90.00 109.47 90.00
Space group P2/m (No. 10)
Unique sites:
Pm1 0.0000 0.0000 0.0000 [1 per cell]
Pr1 0.0000 0.5000 0.5000 [1 per cell]
Pr2 0.5000 0.0000 0.5000 [1 per cell]
Th1 0.5000 0.5000 0.0000 [1 per cell]
Bi1 0.2488 0.5000 0.2459 [2 per cell]
Bi2 0.2508 0.0000 0.7534 [2 per cell]